Here is a relaxed Mo2IrRh crystal from the Alexandria database. Energies are from PBE.

Cell: 2.779 3.857 5.663 Å, 90.00 90.00 90.00°
Fractional positions:
Mo  0.000  0.000  0.000
Mo  0.500  0.500  0.288
Ir  0.500  0.500  0.783
Rh  0.000  0.000  0.512

Values from the calculation:
E_form   -106 meV per atom
Fermi-level density of states   3.145 states/eV/f.u.
ΔE to the lowest computed polymorph   3.495 kcal/mol of atoms